Record 1
First-principles (GGA-PBE) data for an optimized crystal structure of Pm16Pr7Tm6, as listed in Alexandria.

N(E_F)   40.4 states/eV/f.u.
Crystal system   cubic
Total energy   -129.265 eV for the cell shown
Space-group type   Fm-3m, No. 225
Formation energy from the elements   0.2424 eV/atom

a = 11.370 Å, b = 11.370 Å, c = 11.370 Å
α = 60.00°, β = 60.00°, γ = 60.00°
Atoms (fractional coordinates):
Pm1 0.651 0.651 0.651
Pm2 0.349 0.349 0.952
Pm3 0.126 0.126 0.623
Pm4 0.048 0.651 0.651
Pm5 0.874 0.874 0.377
Pm6 0.349 0.349 0.349
Pm7 0.349 0.952 0.349
Pm8 0.126 0.623 0.126
Pm9 0.651 0.048 0.651
Pm10 0.874 0.377 0.874
Pm11 0.126 0.126 0.126
Pm12 0.377 0.874 0.874
Pm13 0.952 0.349 0.349
Pm14 0.623 0.126 0.126
Pm15 0.651 0.651 0.048
Pm16 0.874 0.874 0.874
Tm1 0.739 0.261 0.739
Tm2 0.261 0.739 0.261
Tm3 0.739 0.261 0.261
Tm4 0.739 0.739 0.261
Tm5 0.261 0.261 0.739
Tm6 0.261 0.739 0.739
Pr1 0.000 0.500 0.500
Pr2 0.500 0.000 0.500
Pr3 0.500 0.000 0.000
Pr4 0.000 0.000 0.000
Pr5 0.000 0.000 0.500
Pr6 0.500 0.500 0.000
Pr7 0.000 0.500 0.000


Record 2
First-principles (GGA-PBE) data for an optimized crystal structure of Pm7Pr12Tm, as listed in Alexandria.

N(E_F)   40.3 states/eV/f.u.
Crystal system   trigonal
Total energy   -90.795 eV for the cell shown
Space-group type   R-3, No. 148
Formation energy from the elements   0.2142 eV/atom
Energy relative to the lowest polymorph listed for this composition   0.0 meV/atom

a = 8.949 Å, b = 8.949 Å, c = 8.949 Å
α = 88.28°, β = 88.28°, γ = 88.28°
Atoms (fractional coordinates):
Pr1 0.860 0.510 0.388
Pr2 0.725 0.857 0.256
Pr3 0.143 0.744 0.275
Pr4 0.256 0.725 0.857
Pr5 0.510 0.388 0.860
Pr6 0.275 0.143 0.744
Pr7 0.388 0.860 0.510
Pr8 0.612 0.140 0.490
Pr9 0.857 0.256 0.725
Pr10 0.744 0.275 0.143
Pr11 0.140 0.490 0.612
Pr12 0.490 0.612 0.140
Pm1 0.500 0.500 0.500
Pm2 0.928 0.855 0.611
Pm3 0.072 0.145 0.389
Pm4 0.855 0.611 0.928
Pm5 0.145 0.389 0.072
Pm6 0.389 0.072 0.145
Pm7 0.611 0.928 0.855
Tm1 0.000 0.000 0.000


Record 3
First-principles (GGA-PBE) data for an optimized crystal structure of PmPr2Tm2, as listed in Alexandria.

N(E_F)   4.9 states/eV/f.u.
Crystal system   tetragonal
Total energy   -45.566 eV for the cell shown
Space-group type   P4/mbm, No. 127
Formation energy from the elements   0.0939 eV/atom
Energy relative to the lowest polymorph listed for this composition   63.3 meV/atom

a = 3.843 Å, b = 9.376 Å, c = 9.376 Å
α = 90.00°, β = 90.00°, γ = 90.00°
Atoms (fractional coordinates):
Pr1 0.000 0.130 0.630
Pr2 0.000 0.630 0.870
Pr3 0.000 0.370 0.130
Pr4 0.000 0.870 0.370
Tm1 0.500 0.332 0.832
Tm2 0.500 0.668 0.168
Tm3 0.500 0.832 0.668
Tm4 0.500 0.168 0.332
Pm1 0.000 0.000 0.000
Pm2 0.000 0.500 0.500


Record 4
First-principles (GGA-PBE) data for an optimized crystal structure of Pm5Pr2Tm2, as listed in Alexandria.

N(E_F)   13.4 states/eV/f.u.
Crystal system   monoclinic
Total energy   -42.082 eV for the cell shown
Space-group type   C2/m, No. 12
Formation energy from the elements   0.0192 eV/atom
Energy relative to the lowest polymorph listed for this composition   0.0 meV/atom

a = 5.129 Å, b = 9.604 Å, c = 8.110 Å
α = 126.27°, β = 89.98°, γ = 105.48°
Atoms (fractional coordinates):
Pm1 0.558 0.116 0.781
Pm2 0.112 0.224 0.561
Pm3 0.888 0.776 0.439
Pm4 0.442 0.884 0.219
Pm5 0.000 0.000 0.000
Pr1 0.334 0.668 0.666
Pr2 0.666 0.332 0.334
Tm1 0.222 0.445 0.109
Tm2 0.778 0.555 0.891


Record 5
First-principles (GGA-PBE) data for an optimized crystal structure of PmPrTm2, as listed in Alexandria.

N(E_F)   6.0 states/eV/f.u.
Crystal system   tetragonal
Total energy   -18.375 eV for the cell shown
Space-group type   P4/mmm, No. 123
Formation energy from the elements   0.0246 eV/atom
Energy relative to the lowest polymorph listed for this composition   6.5 meV/atom

a = 3.608 Å, b = 3.608 Å, c = 10.004 Å
α = 90.00°, β = 90.00°, γ = 90.00°
Atoms (fractional coordinates):
Tm1 0.000 0.000 0.752
Tm2 0.000 0.000 0.248
Pr1 0.500 0.500 0.500
Pm1 0.500 0.500 0.000


Record 6
First-principles (GGA-PBE) data for an optimized crystal structure of Pm4PrTm3, as listed in Alexandria.

N(E_F)   14.0 states/eV/f.u.
Crystal system   orthorhombic
Total energy   -73.972 eV for the cell shown
Space-group type   Pmn2_1, No. 31
Formation energy from the elements   0.0263 eV/atom
Energy relative to the lowest polymorph listed for this composition   0.0 meV/atom

a = 6.308 Å, b = 7.318 Å, c = 11.536 Å
α = 90.00°, β = 90.00°, γ = 90.00°
Atoms (fractional coordinates):
Pm1 0.652 0.128 0.000
Pm2 0.152 0.872 0.500
Pm3 0.982 0.126 0.255
Pm4 0.982 0.126 0.745
Pm5 0.482 0.874 0.245
Pm6 0.482 0.874 0.755
Pm7 0.142 0.871 0.000
Pm8 0.642 0.129 0.500
Tm1 0.648 0.622 0.000
Tm2 0.981 0.621 0.750
Tm3 0.148 0.378 0.500
Tm4 0.481 0.379 0.750
Tm5 0.981 0.621 0.250
Tm6 0.481 0.379 0.250
Pr1 0.147 0.375 0.000
Pr2 0.647 0.625 0.500


Record 7
First-principles (GGA-PBE) data for an optimized crystal structure of Pm3PrTm, as listed in Alexandria.

N(E_F)   7.0 states/eV/f.u.
Crystal system   orthorhombic
Total energy   -44.867 eV for the cell shown
Space-group type   Ama2, No. 40
Formation energy from the elements   0.2139 eV/atom
Energy relative to the lowest polymorph listed for this composition   55.0 meV/atom

a = 5.968 Å, b = 5.968 Å, c = 10.386 Å
α = 90.00°, β = 90.00°, γ = 109.02°
Atoms (fractional coordinates):
Pr1 0.826 0.441 0.750
Pr2 0.441 0.826 0.250
Tm1 0.908 0.908 0.500
Tm2 0.908 0.908 0.000
Pm1 0.296 0.597 0.564
Pm2 0.090 0.280 0.250
Pm3 0.597 0.296 0.436
Pm4 0.597 0.296 0.064
Pm5 0.296 0.597 0.936
Pm6 0.280 0.090 0.750


Record 8
First-principles (GGA-PBE) data for an optimized crystal structure of Pm2Pr2Tm3, as listed in Alexandria.

N(E_F)   11.5 states/eV/f.u.
Crystal system   monoclinic
Total energy   -62.391 eV for the cell shown
Space-group type   P2_1/c, No. 14
Formation energy from the elements   0.1828 eV/atom
Energy relative to the lowest polymorph listed for this composition   160.2 meV/atom

a = 6.423 Å, b = 11.531 Å, c = 6.395 Å
α = 90.00°, β = 84.10°, γ = 90.00°
Atoms (fractional coordinates):
Pr1 0.461 0.651 0.459
Pr2 0.961 0.849 0.459
Pr3 0.539 0.349 0.541
Pr4 0.039 0.151 0.541
Tm1 0.959 0.540 0.256
Tm2 0.041 0.460 0.744
Tm3 0.459 0.960 0.256
Tm4 0.000 0.000 0.000
Tm5 0.541 0.040 0.744
Tm6 0.500 0.500 0.000
Pm1 0.719 0.222 0.106
Pm2 0.219 0.278 0.106
Pm3 0.781 0.722 0.894
Pm4 0.281 0.778 0.894


Record 9
First-principles (GGA-PBE) data for an optimized crystal structure of PmPr8Tm2, as listed in Alexandria.

N(E_F)   15.7 states/eV/f.u.
Crystal system   orthorhombic
Total energy   -50.764 eV for the cell shown
Space-group type   Immm, No. 71
Formation energy from the elements   0.1060 eV/atom
Energy relative to the lowest polymorph listed for this composition   0.0 meV/atom

a = 5.743 Å, b = 8.368 Å, c = 9.562 Å
α = 115.95°, β = 107.48°, γ = 90.00°
Atoms (fractional coordinates):
Tm1 0.200 0.700 0.400
Tm2 0.800 0.300 0.600
Pr1 0.362 0.566 0.724
Pr2 0.000 0.294 0.000
Pr3 0.638 0.842 0.276
Pr4 0.362 0.158 0.724
Pr5 0.638 0.434 0.276
Pr6 0.000 0.706 0.000
Pr7 0.836 0.836 0.672
Pr8 0.164 0.164 0.328
Pm1 0.500 0.000 0.000


Record 10
First-principles (GGA-PBE) data for an optimized crystal structure of Pm3Pr8Tm3, as listed in Alexandria.

N(E_F)   16.9 states/eV/f.u.
Crystal system   orthorhombic
Total energy   -64.244 eV for the cell shown
Space-group type   Immm, No. 71
Formation energy from the elements   0.1184 eV/atom

a = 5.724 Å, b = 9.897 Å, c = 9.897 Å
α = 102.65°, β = 73.19°, γ = 73.19°
Atoms (fractional coordinates):
Pr1 0.343 0.430 0.883
Pr2 0.837 0.559 0.768
Pr3 0.163 0.232 0.441
Pr4 0.657 0.570 0.117
Pr5 0.837 0.768 0.559
Pr6 0.657 0.117 0.570
Pr7 0.163 0.441 0.232
Pr8 0.343 0.883 0.430
Tm1 0.500 0.000 0.000
Tm2 0.000 0.182 0.818
Tm3 0.000 0.818 0.182
Pm1 0.500 0.500 0.500
Pm2 0.192 0.808 0.808
Pm3 0.808 0.192 0.192


Record 11
First-principles (GGA-PBE) data for an optimized crystal structure of Pm2Pr3Tm3, as listed in Alexandria.

N(E_F)   12.1 states/eV/f.u.
Crystal system   orthorhombic
Total energy   -37.085 eV for the cell shown
Space-group type   Immm, No. 71
Formation energy from the elements   0.0211 eV/atom
Energy relative to the lowest polymorph listed for this composition   0.0 meV/atom

a = 5.075 Å, b = 5.132 Å, c = 10.856 Å
α = 103.67°, β = 103.52°, γ = 90.00°
Atoms (fractional coordinates):
Pr1 0.623 0.623 0.247
Pr2 0.377 0.377 0.753
Pr3 0.500 0.000 0.000
Tm1 0.125 0.125 0.250
Tm2 0.000 0.500 0.000
Tm3 0.875 0.875 0.750
Pm1 0.251 0.751 0.502
Pm2 0.749 0.249 0.498


Record 12
First-principles (GGA-PBE) data for an optimized crystal structure of Pm4Pr2Tm7, as listed in Alexandria.

N(E_F)   18.2 states/eV/f.u.
Crystal system   triclinic
Total energy   -57.371 eV for the cell shown
Space-group type   P-1, No. 2
Formation energy from the elements   0.1916 eV/atom

a = 6.595 Å, b = 11.880 Å, c = 8.581 Å
α = 68.55°, β = 101.55°, γ = 135.67°
Atoms (fractional coordinates):
Pm1 0.614 0.195 0.821
Pm2 0.875 0.811 0.651
Pm3 0.386 0.805 0.179
Pm4 0.125 0.189 0.349
Tm1 0.000 0.000 0.000
Tm2 0.302 0.373 0.691
Tm3 0.698 0.627 0.309
Tm4 0.093 0.622 0.603
Tm5 0.907 0.378 0.397
Tm6 0.386 0.027 0.314
Tm7 0.614 0.973 0.686
Pr1 0.307 0.552 0.977
Pr2 0.693 0.448 0.023


> Look up the formation energy from the elements of the tenth one.

0.1184 eV/atom


> Which formula does entry 9 have?

PmPr8Tm2


> Which formula does entry 2 have?

Pm7Pr12Tm